First-principles (PBE) data for a relaxed CsSrZr3 crystal, as listed in Alexandria via LeMat-Bulk.

It has space group Pm-3m (No. 221), with a = 5.4336 Å, b = 5.4336 Å, c = 5.4336 Å, α = 90.00°, β = 90.00° and γ = 90.00°. The asymmetric unit holds Cs at (0.0000, 0.0000, 0.0000), Sr at (0.5000, 0.5000, 0.5000) and Zr at (0.0000, 0.0000, 0.5000).



First-principles (PBE) data for a relaxed Be2CuHg crystal, as listed in Alexandria via LeMat-Bulk.

It has space group F-43m (No. 216), with a = 5.9064 Å, b = 5.9064 Å, c = 5.9064 Å, α = 90.00°, β = 90.00° and γ = 90.00°. The asymmetric unit holds Be at (0.0000, 0.0000, 0.0000), Be at (0.2500, 0.2500, 0.2500), Cu at (0.2500, 0.2500, 0.7500) and Hg at (0.0000, 0.0000, 0.5000).



How do the records compare in DFT formation energy? In the order shown, they have 1.63; 0.39 eV/atom.
How do the records compare in M_tot? In the order shown, they have 0.00; 0.00 μB per formula unit.